LaBePtAu2 after structural relaxation, computed with PBE-GGA.

a = 4.5980 Å, b = 4.5980 Å, c = 4.6259 Å
α = 90.00°, β = 90.00°, γ = 90.00°
Space group P4/mmm (No. 123)
Symmetry-distinct sites (fractional):
La: 0.0000 0.0000 0.0000
Be: 0.5000 0.5000 0.5000
Pt: 0.5000 0.5000 0.0000
Au: 0.0000 0.5000 0.5000

Summary:
DOS(E_F): 2.31 states/eV per cell
Formation energy from the elements: -0.6031 eV/atom



AlFeBr2 after structural relaxation, computed with PBE-GGA.

a = 3.5460 Å, b = 3.4448 Å, c = 8.4107 Å
α = 90.00°, β = 90.57°, γ = 90.00°
Space group P2/m (No. 10)
Symmetry-distinct sites (fractional):
Al: 0.0000 0.0000 0.0000
Fe: 0.5000 0.0000 0.5000
Br: 0.4969 0.5000 0.2842

Summary:
DOS(E_F): 3.27 states/eV per cell
Energy above the lowest structure with this stoichiometry: 10.74 kcal/mol of atoms
E_form (uncorrected): 0.191 eV/atom



Cr2Ga2Ag after structural relaxation, computed with PBE-GGA.

a = 7.1789 Å, b = 7.1789 Å, c = 3.0390 Å
α = 90.00°, β = 90.00°, γ = 90.00°
Space group P4/mbm (No. 127)
Symmetry-distinct sites (fractional):
Cr: 0.1611 0.3389 0.0000
Ga: 0.1359 0.6359 0.5000
Ag: 0.0000 0.0000 0.5000

Summary:
DOS(E_F): 5.53 states/eV per cell
Energy above the lowest structure with this stoichiometry: 0.00 kcal/mol of atoms
Formation energy from the elements: 0.1769 eV/atom



K3TeH after structural relaxation, computed with PBE-GGA.

a = 7.0813 Å, b = 5.9546 Å, c = 9.6035 Å
α = 90.00°, β = 103.46°, γ = 90.00°
Space group P2_1/m (No. 11)
Symmetry-distinct sites (fractional):
K: 0.0046 0.2500 0.1462
K: 0.3172 0.7500 0.3738
K: 0.3552 0.2500 0.8816
Te: 0.4715 0.7500 0.7421
H: 0.0196 0.7500 0.1414

Summary:
DOS(E_F): 0.00 states/eV per cell
Energy above the lowest structure with this stoichiometry: 1.15 kcal/mol of atoms



PmPuSbRh after structural relaxation, computed with PBE-GGA.

a = 7.1465 Å, b = 7.1465 Å, c = 7.1465 Å
α = 90.00°, β = 90.00°, γ = 90.00°
Space group F-43m (No. 216)
Symmetry-distinct sites (fractional):
Pm: 0.0000 0.0000 0.0000
Pu: 0.2500 0.2500 0.2500
Sb: 0.0000 0.0000 0.5000
Rh: 0.2500 0.2500 0.7500

Summary:
DOS(E_F): 39.80 states/eV per cell
E_form (uncorrected): -0.309 eV/atom



Rb2CaRuO6 after structural relaxation, computed with PBE-GGA.

a = 6.3380 Å, b = 6.3380 Å, c = 5.8367 Å
α = 90.00°, β = 90.00°, γ = 120.00°
Space group P-3m1 (No. 164)
Symmetry-distinct sites (fractional):
Rb: 0.3333 0.6667 0.3604
Ca: 0.0000 0.0000 0.0000
Ru: 0.0000 0.0000 0.5000
O: 0.1383 0.2765 0.6934

Summary:
E_form (uncorrected): -1.336 eV/atom



Ce2GaCo after structural relaxation, computed with PBE-GGA.

a = 4.3855 Å, b = 4.3855 Å, c = 4.1640 Å
α = 90.00°, β = 90.00°, γ = 90.00°
Space group P4/mmm (No. 123)
Symmetry-distinct sites (fractional):
Ce: 0.0000 0.5000 0.0000
Ga: 0.0000 0.0000 0.5000
Co: 0.5000 0.5000 0.5000

Summary:
DOS(E_F): 5.76 states/eV per cell
Formation energy from the elements: -0.2465 eV/atom



Tl2ZnSb after structural relaxation, computed with PBE-GGA.

a = 8.1028 Å, b = 3.4195 Å, c = 8.3130 Å
α = 90.00°, β = 97.51°, γ = 90.00°
Space group Cm (No. 8)
Symmetry-distinct sites (fractional):
Tl: 0.0000 0.0000 0.0000
Tl: 0.2353 0.0000 0.6842
Zn: 0.2471 0.5000 0.2314
Sb: 0.4842 0.0000 0.3998

Summary:
DOS(E_F): 3.51 states/eV per cell
Energy above the lowest structure with this stoichiometry: 1.00 kcal/mol of atoms
E_form (uncorrected): 0.067 eV/atom



no.,magnetic moment (μB per formula unit)
1,0.000
2,3.106
3,6.174
4,0.000
5,6.843
6,0.000
7,0.001
8,0.000